The following is a PBE calculation of crystalline BaAc2Sm at its relaxed geometry, from the Alexandria database.

```
BaAc2Sm
1.0
-2.144 -0.838 3.152
1.667 -1.677 3.105
2.653 11.645 7.317
Ac Ba Sm
2 1 1
direct
0.094 0.094 0.719
0.906 0.906 0.281
0.000 0.000 0.000
0.500 0.500 0.500
```

For the formation energy, the calculation gives 0.160 eV per atom. Its density of states at the Fermi level is 5.432 states/eV/cell. The crystal system is trigonal. The calculation puts the excess energy over the best structure of this formula in the dataset at 9.2 kJ per mole of atoms.